Entry 1:
The following is a DFT calculation (GGA-PBE) of a geometry-optimized NaZn2GeRh structure.

Properties
D(E_F): 1.7 states/eV/cell
total magnetic moment: 0.00 Bohr magnetons per cell
formation energy from the elements: -0.140 eV/atom
crystal system: tetragonal

Cell lengths 4.8844, 4.8844, 4.6581 Å; angles 90.00, 90.00, 90.00 degrees
Closest atoms and distances in Å follow each position.
Fractional positions:
Na1 0.0000 0.0000 0.0000  8 Zn 3.37, 4 Ge 3.45
Zn1 0.0000 0.5000 0.5000  2 Rh 2.44
Zn2 0.5000 0.0000 0.5000  2 Rh 2.44
Ge1 0.5000 0.5000 0.0000  2 Rh 2.33
Rh1 0.5000 0.5000 0.5000  2 Ge 2.33, 4 Zn 2.44

---

Entry 2:
The following is a DFT calculation (GGA-PBE) of a geometry-optimized Ac2La2Nd4Y structure.

Properties
D(E_F): 13.1 states/eV/cell
total magnetic moment: 0.00 Bohr magnetons per cell
formation energy from the elements: 0.025 eV/atom
crystal system: monoclinic

Cell lengths 9.9608, 9.9608, 10.0983 Å; angles 115.16, 115.16, 21.99 degrees
Closest atoms and distances in Å follow each position.
Fractional positions:
Ac1 0.1451 0.1451 0.1646  7 Nd 3.75-3.83, 3 La 3.78, 2 Ac 3.80
Ac2 0.8549 0.8549 0.8354  7 Nd 3.75-3.83, 3 La 3.78, 2 Ac 3.80
La1 0.3352 0.3352 0.4972  3 Nd 3.65-3.71, 2 Y 3.73, 3 Ac 3.78, 4 La 3.80-3.86
La2 0.6648 0.6648 0.5028  3 Nd 3.65-3.71, 2 Y 3.73, 3 Ac 3.78, 4 La 3.80-3.86
Nd1 0.1846 0.1846 0.8330  2 La 3.71, 6 Nd 3.72-3.80, 1 Y 3.72, 3 Ac 3.75-3.83
Nd2 0.4815 0.4815 0.1799  2 Y 3.63, 1 La 3.65, 5 Nd 3.72-4.00, 4 Ac 3.78-3.79
Nd3 0.5185 0.5185 0.8201  2 Y 3.63, 1 La 3.65, 5 Nd 3.72-4.00, 4 Ac 3.78-3.79
Nd4 0.8154 0.8154 0.1670  2 La 3.71, 6 Nd 3.72-3.80, 1 Y 3.72, 3 Ac 3.75-3.83
Y1 0.0000 0.0000 0.5000  6 Nd 3.63-3.72, 4 La 3.73, 2 Y 3.80

---

Entry 3:
The following is a DFT calculation (GGA-PBE) of a geometry-optimized V4Ir3Ru structure.

Properties
D(E_F): 19.5 states/eV/cell
total magnetic moment: 0.00 Bohr magnetons per cell
formation energy from the elements: -0.410 eV/atom
crystal system: orthorhombic

Cell lengths 8.6822, 5.5638, 4.5990 Å; angles 90.00, 90.00, 90.00 degrees
Closest atoms and distances in Å follow each position.
Fractional positions:
V1 0.0000 0.2494 0.0000  6 Ir 2.64-2.69, 2 Ru 2.69, 4 V 2.76-2.79
V2 0.0000 0.7506 0.0000  6 Ir 2.64-2.69, 2 Ru 2.69, 4 V 2.76-2.79
V3 0.2500 0.2521 0.3706  2 Ru 2.64, 6 Ir 2.65-2.72, 4 V 2.76-2.81
V4 0.2500 0.7479 0.3706  2 Ru 2.64, 6 Ir 2.65-2.72, 4 V 2.76-2.81
V5 0.5000 0.2494 0.0000  6 Ir 2.64-2.69, 2 Ru 2.69, 4 V 2.76-2.79
V6 0.5000 0.7506 0.0000  6 Ir 2.64-2.69, 2 Ru 2.69, 4 V 2.76-2.79
V7 0.7500 0.2521 0.6294  2 Ru 2.64, 6 Ir 2.65-2.72, 4 V 2.76-2.81
V8 0.7500 0.7479 0.6294  2 Ru 2.64, 6 Ir 2.65-2.72, 4 V 2.76-2.81
Ir1 0.0000 0.0000 0.5000  8 V 2.65-2.69, 2 Ir 2.77, 2 Ru 2.78
Ir2 0.2500 0.0000 0.8748  8 V 2.64-2.71, 4 Ir 2.77-2.78
Ir3 0.2500 0.5000 0.8794  8 V 2.64-2.72, 2 Ir 2.78, 2 Ru 2.78
Ir4 0.5000 0.0000 0.5000  8 V 2.65-2.69, 2 Ir 2.77, 2 Ru 2.78
Ir5 0.7500 0.0000 0.1252  8 V 2.64-2.71, 4 Ir 2.77-2.78
Ir6 0.7500 0.5000 0.1206  8 V 2.64-2.72, 2 Ir 2.78, 2 Ru 2.78
Ru1 0.0000 0.5000 0.5000  8 V 2.64-2.69, 4 Ir 2.78
Ru2 0.5000 0.5000 0.5000  8 V 2.64-2.69, 4 Ir 2.78

---

Entry 4:
The following is a DFT calculation (GGA-PBE) of a geometry-optimized LaH2Rh structure.

Properties
D(E_F): 3.5 states/eV/cell
total magnetic moment: 0.00 Bohr magnetons per cell
calculated total energy: -0.1919 Ha/atom
crystal system: tetragonal

Cell lengths 6.5233, 6.5233, 6.5233 Å; angles 141.36, 141.36, 55.79 degrees
Closest atoms and distances in Å follow each position.
Fractional positions:
La1 0.0000 0.0000 0.0000  8 H 2.80-2.82, 4 Rh 3.05
La2 0.7500 0.2500 0.5000  8 H 2.80-2.82, 4 Rh 3.05
H1 0.3714 0.6250 0.2464  2 Rh 1.80
H2 0.3750 0.6214 0.7464  2 Rh 1.80
H3 0.3786 0.1250 0.7536  2 Rh 1.80
H4 0.8750 0.6286 0.2536  2 Rh 1.80
Rh1 0.2500 0.7500 0.5000  4 H 1.80
Rh2 0.5000 0.5000 0.0000  4 H 1.80

---

Entry 5:
The following is a DFT calculation (GGA-PBE) of a geometry-optimized Tl2SiMo structure.

Properties
uncorrected formation energy: 1.0094 eV per atom
D(E_F): 5.8 states/eV/cell
total magnetic moment: 4.68 Bohr magnetons per cell
distance to the lowest polymorph of the same formula: 2.88 eV/f.u.
crystal system: tetragonal

Cell lengths 6.3136, 6.3136, 6.3136 Å; angles 101.50, 101.50, 126.96 degrees
Closest atoms and distances in Å follow each position.
Fractional positions:
Tl1 0.1106 0.6250 0.9856  2 Tl 2.83, 2 Si 2.83, 2 Mo 2.99
Tl2 0.3750 0.3606 0.4856  2 Tl 2.83, 2 Si 2.83, 2 Mo 2.99
Tl3 0.6394 0.1250 0.0144  2 Tl 2.83, 2 Si 2.83, 2 Mo 2.99
Tl4 0.8750 0.8894 0.5144  2 Tl 2.83, 2 Si 2.83, 2 Mo 2.99
Si1 0.0000 0.0000 0.0000  2 Mo 2.82, 4 Tl 2.83
Si2 0.7500 0.2500 0.5000  2 Mo 2.82, 4 Tl 2.83
Mo1 0.2500 0.7500 0.5000  2 Si 2.82, 4 Tl 2.99
Mo2 0.5000 0.5000 0.0000  2 Si 2.82, 4 Tl 2.99

---

Entry 6:
The following is a DFT calculation (GGA-PBE) of a geometry-optimized Y2Ni3As4Rh structure.

Properties
D(E_F): 4.9 states/eV/cell
total magnetic moment: 0.00 Bohr magnetons per cell
formation energy from the elements: -0.810 eV/atom
crystal system: tetragonal

Cell lengths 4.1844, 4.1844, 9.5537 Å; angles 90.00, 90.00, 90.00 degrees
Closest atoms and distances in Å follow each position.
Fractional positions:
Y1 0.0000 0.5000 0.2474  8 As 3.15-3.16, 7 Ni 3.19-3.50, 2 Rh 3.19
Y2 0.5000 0.0000 0.7526  8 As 3.15-3.16, 7 Ni 3.19-3.50, 2 Rh 3.19
Ni1 0.0000 0.5000 0.8811  5 As 2.32-2.38
Ni2 0.5000 0.0000 0.1189  5 As 2.32-2.38
Ni3 0.5000 0.5000 0.5000  4 As 2.47
As1 0.0000 0.0000 0.0000  4 Ni 2.38
As2 0.0000 0.5000 0.6380  3 Ni 2.32-2.47, 2 Rh 2.47
As3 0.5000 0.0000 0.3620  3 Ni 2.32-2.47, 2 Rh 2.47
As4 0.5000 0.5000 0.0000  4 Ni 2.38
Rh1 0.0000 0.0000 0.5000  4 As 2.47

---

Entry 7:
The following is a DFT calculation (GGA-PBE) of a geometry-optimized LaTb2CeSm2 structure.

Properties
D(E_F): 26.9 states/eV/cell
total magnetic moment: 1.92 Bohr magnetons per cell
formation energy from the elements: 0.280 eV/atom
crystal system: orthorhombic

Cell lengths 6.5716, 18.0762, 3.3872 Å; angles 90.00, 90.00, 90.00 degrees
Closest atoms and distances in Å follow each position.
Fractional positions:
La1 0.0000 0.0000 0.0000  2 Tb 3.29, 2 La 3.39, 2 Sm 3.63
La2 0.5000 0.5000 0.5000  2 Tb 3.29, 2 La 3.39, 2 Sm 3.63
Tb1 0.2037 0.3535 0.5000  1 La 3.29, 4 Sm 3.33-3.47, 2 Tb 3.39, 2 Ce 3.42
Tb2 0.2963 0.8535 0.0000  1 La 3.29, 4 Sm 3.33-3.47, 2 Tb 3.39, 2 Ce 3.42
Tb3 0.7037 0.1465 0.0000  1 La 3.29, 4 Sm 3.33-3.47, 2 Tb 3.39, 2 Ce 3.42
Tb4 0.7963 0.6465 0.5000  1 La 3.29, 4 Sm 3.33-3.47, 2 Tb 3.39, 2 Ce 3.42
Ce1 0.0000 0.5000 0.0000  2 Ce 3.39, 4 Tb 3.42, 4 La 3.70
Ce2 0.5000 0.0000 0.5000  2 Ce 3.39, 4 Tb 3.42, 4 La 3.70
Sm1 0.2085 0.1861 0.0000  4 Tb 3.33-3.47, 2 Sm 3.39, 1 La 3.63
Sm2 0.2915 0.6861 0.5000  4 Tb 3.33-3.47, 2 Sm 3.39, 1 La 3.63
Sm3 0.7085 0.3139 0.5000  4 Tb 3.33-3.47, 2 Sm 3.39, 1 La 3.63
Sm4 0.7915 0.8139 0.0000  4 Tb 3.33-3.47, 2 Sm 3.39, 1 La 3.63

---

Entry 8:
The following is a DFT calculation (GGA-PBE) of a geometry-optimized BaNiSb2 structure.

Properties
uncorrected formation energy: 0.0176 eV per atom
D(E_F): 4.1 states/eV/cell
total magnetic moment: 0.43 Bohr magnetons per cell
crystal system: tetragonal

Cell lengths 4.7151, 4.7151, 4.8950 Å; angles 90.00, 90.00, 90.00 degrees
Closest atoms and distances in Å follow each position.
Fractional positions:
Ba1 0.0000 0.0000 0.0000  4 Ni 3.33, 8 Sb 3.40
Ni1 0.5000 0.5000 0.0000  4 Ba 3.33, 8 Sb 3.40
Sb1 0.0000 0.5000 0.5000  4 Sb 3.33, 4 Ba 3.40, 4 Ni 3.40
Sb2 0.5000 0.0000 0.5000  4 Sb 3.33, 4 Ba 3.40, 4 Ni 3.40

---

What is the D(E_F) in the first record? 1.7 states/eV/cell